[1]
CePmSe: optimized geometry, PBE.

Output
Size of the total moment (μB/f.u.): 0.34
Energy above the most stable polymorph in this dataset (meV/atom): 0.0
Raw formation energy (eV per atom): -1.0514
Total energy (eV for the cell shown): -69.29

Cell: 10.964 3.831 8.701 Å, 90.00 119.21 90.00°
Space group C2/m (No. 12)
Asymmetric unit:
Ce (0.136, 0.000, 0.045) x4
Pm (0.074, 0.500, 0.361) x4
Se (0.165, 0.000, 0.682) x4

***

[2]
Ce3Pm5Se8: optimized geometry, PBE.

Output
Size of the total moment (μB/f.u.): 2.86
Raw formation energy (eV per atom): -1.8361
Total energy (eV for the cell shown): -296.43

Cell: 8.3893 8.3893 20.6060 Å, 90.00 90.00 120.00°
Space group R-3m (No. 166, hexagonal axes)
Asymmetric unit:
Ce (0.0000, 0.5000, 0.0000) x9
Pm (0.0000, 0.0000, 0.0000) x3
Pm (0.0000, 0.0000, 0.5000) x3
Pm (0.0000, 0.5000, 0.5000) x9
Se (0.0000, 0.0000, 0.2497) x6
Se (0.9999, 0.5000, 0.2499) x18

***

[3]
Ce2PmSe4: optimized geometry, PBE.

Output
Size of the total moment (μB/f.u.): 2.39
Energy above the most stable polymorph in this dataset (meV/atom): 16.0
Raw formation energy (eV per atom): -1.7947
Total energy (eV for the cell shown): -172.48

Cell: 4.077 13.999 14.100 Å, 90.00 90.00 90.00°
Space group Cmcm (No. 63)
Asymmetric unit:
Ce (0.000, 0.133, 0.069) x8
Pm (0.000, 0.377, 0.250) x4
Se (0.000, 0.030, 0.250) x4
Se (0.000, 0.222, 0.625) x8
Se (0.000, 0.500, 0.000) x4

***

[4]
Ce3PmSe4: optimized geometry, PBE.

Output
Size of the total moment (μB/f.u.): 2.72
Raw formation energy (eV per atom): -1.8250
Total energy (eV for the cell shown): -51.09

Cell: 5.937 5.937 5.937 Å, 90.00 90.00 90.00°
Space group Pm-3m (No. 221)
Asymmetric unit:
Ce (0.000, 0.000, 0.500) x3
Pm (0.500, 0.500, 0.500) x1
Se (0.000, 0.000, 0.000) x1
Se (0.000, 0.500, 0.500) x3